(1)
{
  "formula": "YCrW2",
  "functional": "PBE-GGA",
  "state": "relaxed",
  "lattice": [[5.530, -0.072, 0.000], [2.830, 4.752, 0.000], [-4.180, -2.340, 2.765]],
  "species": ["Y", "W", "Cr", "W"],
  "fractional_positions": [[0.250, 0.750, 0.500], [0.000, 0.000, 0.000], [0.750, 0.250, 0.500], [0.500, 0.500, 0.000]],
  "dos_ef_per_ev_atom": 0.9935,
  "e_form_ev_per_atom": 0.679
}



(2)
{
  "formula": "YCrW2",
  "functional": "PBE-GGA",
  "state": "relaxed",
  "lattice": [[3.210, 0.000, 0.000], [0.000, 3.210, 0.000], [0.000, 0.000, 7.131]],
  "species": ["W", "Cr", "W", "Y"],
  "fractional_positions": [[0.000, 0.000, 0.995], [0.500, 0.500, 0.802], [0.500, 0.500, 0.205], [0.000, 0.000, 0.498]],
  "dos_ef_per_ev_atom": 0.8105,
  "e_form_ev_per_atom": 0.398
}



(3)
{
  "formula": "YCrW",
  "functional": "PBE-GGA",
  "state": "relaxed",
  "lattice": [[-1.041, -4.767, 2.095], [2.108, 1.049, 3.435], [-4.307, 3.264, 1.647]],
  "species": ["Cr", "Cr", "W", "W", "Y", "Y"],
  "fractional_positions": [[0.703, 0.000, 0.219], [0.445, 0.500, 0.203], [0.875, 0.500, 0.057], [0.180, 0.000, 0.134], [0.570, 0.000, 0.694], [0.062, 0.500, 0.592]],
  "dos_ef_per_ev_atom": 1.1504,
  "e_form_ev_per_atom": 0.425
}



(4)
{
  "formula": "Y2CrW",
  "functional": "PBE-GGA",
  "state": "relaxed",
  "lattice": [[-4.538, -0.143, 2.193], [2.175, -1.003, 4.437], [0.217, 3.457, 0.675]],
  "species": ["Y", "W", "Cr", "Y"],
  "fractional_positions": [[0.000, 0.000, 0.000], [0.000, 0.500, 0.500], [0.500, 0.000, 0.500], [0.500, 0.500, 0.000]],
  "dos_ef_per_ev_atom": 1.3192,
  "e_form_ev_per_atom": 0.651
}



(5)
{
  "formula": "YCrW2",
  "functional": "PBE-GGA",
  "state": "relaxed",
  "lattice": [[5.394, 0.002, -0.001], [2.262, 4.897, 0.001], [-3.197, -3.436, 2.659]],
  "species": ["Y", "W", "W", "Cr"],
  "fractional_positions": [[0.493, 0.493, 0.000], [0.767, 0.267, 0.500], [0.012, 0.012, 0.000], [0.228, 0.728, 0.500]],
  "dos_ef_per_ev_atom": 1.0621,
  "e_form_ev_per_atom": 0.613
}



(6)
{
  "formula": "YCrW2",
  "functional": "PBE-GGA",
  "state": "relaxed",
  "lattice": [[-0.253, 1.713, -2.528], [-2.292, -1.786, -0.981], [-7.259, 2.660, 2.528]],
  "species": ["Cr", "Y", "W", "W"],
  "fractional_positions": [[0.500, 0.750, 0.750], [0.500, 0.250, 0.250], [0.000, 0.441, 0.558], [0.000, 0.059, 0.942]],
  "dos_ef_per_ev_atom": 1.0537,
  "e_form_ev_per_atom": 0.435
}



(7)
{
  "formula": "ZnCrW3",
  "functional": "PBE-GGA",
  "state": "relaxed",
  "lattice": [[4.503, 0.000, 0.000], [0.000, 4.503, 0.000], [0.000, 0.000, 4.503]],
  "species": ["W", "W", "Cr", "Zn", "W"],
  "fractional_positions": [[0.000, 0.000, 0.500], [0.500, 0.000, 0.000], [0.000, 0.000, 0.000], [0.500, 0.500, 0.500], [0.000, 0.500, 0.000]],
  "dos_ef_per_ev_atom": 1.3400,
  "e_form_ev_per_atom": 1.535
}



(8)
{
  "formula": "ZnCrW",
  "functional": "PBE-GGA",
  "state": "relaxed",
  "lattice": [[-0.864, -2.729, 3.212], [-1.926, -0.490, -3.816], [1.960, -1.551, -0.790]],
  "species": ["Zn", "Cr", "W"],
  "fractional_positions": [[0.333, 0.667, 0.696], [0.000, 0.000, 0.013], [0.667, 0.333, 0.291]],
  "dos_ef_per_ev_atom": 0.4189,
  "e_form_ev_per_atom": 0.215
}



(9)
{
  "formula": "ZnCr2W",
  "functional": "PBE-GGA",
  "state": "relaxed",
  "lattice": [[-4.194, -2.575, -0.419], [0.202, -4.783, 1.214], [0.713, 4.597, 1.659]],
  "species": ["W", "Zn", "Cr", "Cr"],
  "fractional_positions": [[0.485, 0.485, 0.000], [0.758, 0.258, 0.500], [0.019, 0.019, 0.000], [0.238, 0.738, 0.500]],
  "dos_ef_per_ev_atom": 0.6338,
  "e_form_ev_per_atom": 0.221
}



(10)
{
  "formula": "ZnCr2W",
  "functional": "PBE-GGA",
  "state": "relaxed",
  "lattice": [[-0.752, -0.816, 2.646], [-2.072, -1.653, -1.098], [4.184, -5.008, -0.355]],
  "species": ["W", "Cr", "Cr", "Zn"],
  "fractional_positions": [[0.000, 0.000, 0.481], [0.500, 0.500, 0.212], [0.000, 0.000, 0.032], [0.500, 0.500, 0.774]],
  "dos_ef_per_ev_atom": 0.5906,
  "e_form_ev_per_atom": 0.238
}



(11)
{
  "formula": "ZnCrW",
  "functional": "PBE-GGA",
  "state": "relaxed",
  "lattice": [[6.250, 0.012, 0.000], [5.054, 3.678, 0.000], [-5.652, -1.845, 1.928]],
  "species": ["W", "Zn", "Cr"],
  "fractional_positions": [[0.336, 0.336, 0.000], [0.663, 0.663, 0.000], [0.001, 0.001, 0.000]],
  "dos_ef_per_ev_atom": 0.8610,
  "e_form_ev_per_atom": 0.389
}



(12)
{
  "formula": "ZnCr2W",
  "functional": "PBE-GGA",
  "state": "relaxed",
  "lattice": [[2.606, -0.002, 0.000], [-0.785, 2.485, 0.000], [0.000, 0.000, 8.419]],
  "species": ["W", "Cr", "Zn", "Cr"],
  "fractional_positions": [[0.500, 0.500, 0.250], [0.000, 0.000, 0.500], [0.500, 0.500, 0.750], [0.000, 0.000, 0.000]],
  "dos_ef_per_ev_atom": 0.6374,
  "e_form_ev_per_atom": 0.201
}



(13)
{
  "formula": "ZnCr2W",
  "functional": "PBE-GGA",
  "state": "relaxed",
  "lattice": [[6.766, 0.000, 0.000], [0.000, 6.766, 0.000], [3.383, 3.383, 2.585]],
  "species": ["Cr", "Zn", "Cr", "Cr", "W", "Cr", "Zn", "W"],
  "fractional_positions": [[0.875, 0.889, 0.750], [0.500, 0.500, 0.000], [0.111, 0.625, 0.250], [0.375, 0.361, 0.750], [0.750, 0.250, 0.500], [0.639, 0.125, 0.250], [0.250, 0.750, 0.500], [0.000, 0.000, 0.000]],
  "dos_ef_per_ev_atom": 1.2053,
  "e_form_ev_per_atom": 0.927
}



(14)
{
  "formula": "ZnCr2W",
  "functional": "PBE-GGA",
  "state": "relaxed",
  "lattice": [[-2.936, -2.428, 1.927], [0.257, -4.255, -0.239], [1.046, -2.273, 3.459]],
  "species": ["W", "Cr", "Zn", "Cr"],
  "fractional_positions": [[0.500, 0.500, 0.500], [0.250, 0.250, 0.250], [0.750, 0.750, 0.750], [0.000, 0.000, 0.000]],
  "dos_ef_per_ev_atom": 0.6195,
  "e_form_ev_per_atom": 0.359
}



(15)
{
  "formula": "ZnCrW3",
  "functional": "PBE-GGA",
  "state": "relaxed",
  "lattice": [[4.498, 0.000, 0.000], [0.000, 4.498, 0.000], [0.000, 0.000, 4.498]],
  "species": ["W", "W", "Zn", "W", "Cr"],
  "fractional_positions": [[0.000, 0.500, 0.000], [0.000, 0.000, 0.500], [0.000, 0.000, 0.000], [0.500, 0.000, 0.000], [0.500, 0.500, 0.500]],
  "dos_ef_per_ev_atom": 2.0808,
  "e_form_ev_per_atom": 2.244
}



(16)
{
  "formula": "ZnCr2W",
  "functional": "PBE-GGA",
  "state": "relaxed",
  "lattice": [[2.631, 0.000, 0.000], [0.000, 2.631, 0.000], [0.000, 0.000, 7.971]],
  "species": ["Cr", "W", "Cr", "Zn"],
  "fractional_positions": [[0.000, 0.000, 0.012], [0.000, 0.000, 0.495], [0.500, 0.500, 0.229], [0.500, 0.500, 0.764]],
  "dos_ef_per_ev_atom": 0.8206,
  "e_form_ev_per_atom": 0.381
}



(17)
{
  "formula": "ZnCr2W",
  "functional": "PBE-GGA",
  "state": "relaxed",
  "lattice": [[-0.022, -1.703, 3.862], [0.749, -2.250, -0.988], [5.008, 0.567, 0.278]],
  "species": ["Zn", "Cr", "W", "Cr"],
  "fractional_positions": [[0.500, 0.750, 0.750], [0.000, 0.485, 0.502], [0.500, 0.250, 0.250], [0.000, 0.015, 0.998]],
  "dos_ef_per_ev_atom": 0.7338,
  "e_form_ev_per_atom": 0.259
}



(18)
{
  "formula": "ZnCrW",
  "functional": "PBE-GGA",
  "state": "relaxed",
  "lattice": [[4.928, 0.000, 0.000], [2.464, 4.080, 0.000], [2.464, 0.000, 4.440]],
  "species": ["Zn", "W", "W", "Cr", "Cr", "Zn"],
  "fractional_positions": [[0.835, 0.329, 0.000], [0.340, 0.000, 0.320], [0.660, 0.000, 0.680], [0.250, 0.500, 0.500], [0.750, 0.500, 0.500], [0.165, 0.671, 0.000]],
  "dos_ef_per_ev_atom": 0.8475,
  "e_form_ev_per_atom": 0.434
}



(19)
{
  "formula": "ZnCr2W",
  "functional": "PBE-GGA",
  "state": "relaxed",
  "lattice": [[-1.214, 6.701, -5.216], [-3.274, 7.147, -3.433], [-0.731, 8.054, -2.859]],
  "species": ["Cr", "W", "Zn", "Cr"],
  "fractional_positions": [[0.259, 0.259, 0.259], [0.504, 0.504, 0.504], [0.745, 0.745, 0.745], [0.991, 0.991, 0.991]],
  "dos_ef_per_ev_atom": 0.5080,
  "e_form_ev_per_atom": 0.342
}



(20)
{
  "formula": "ZnCrW",
  "functional": "PBE-GGA",
  "state": "relaxed",
  "lattice": [[-0.596, -4.039, 2.531], [-1.806, -4.088, -1.760], [3.253, 3.403, -0.956]],
  "species": ["Cr", "W", "Zn"],
  "fractional_positions": [[0.991, 0.991, 0.000], [0.347, 0.347, 0.000], [0.663, 0.663, 0.000]],
  "dos_ef_per_ev_atom": 0.4447,
  "e_form_ev_per_atom": 0.245
}